A relaxed MnNb3Se6 crystal. Source: the Alexandria database, functional PBE. Values from VASP.

Quantum ESPRESSO input file:
```
&SYSTEM
  ibrav = 0, nat = 20, ntyp = 3
/
ATOMIC_SPECIES
Mn 54.94 Mn.upf
Nb 92.91 Nb.upf
Se 78.96 Se.upf
ATOMIC_POSITIONS crystal
Mn 0.0000 0.0000 0.0000
Mn 0.5000 0.5000 0.5000
Nb 0.3551 0.8824 0.7366
Nb 0.8824 0.7366 0.3551
Nb 0.2634 0.6449 0.1176
Nb 0.7366 0.3551 0.8824
Nb 0.1176 0.2634 0.6449
Nb 0.6449 0.1176 0.2634
Se 0.3105 0.9411 0.0269
Se 0.0589 0.9731 0.6895
Se 0.5336 0.8296 0.4138
Se 0.9731 0.6895 0.0589
Se 0.4138 0.5336 0.8296
Se 0.1704 0.5862 0.4664
Se 0.8296 0.4138 0.5336
Se 0.5862 0.4664 0.1704
Se 0.0269 0.3105 0.9411
Se 0.4664 0.1704 0.5862
Se 0.9411 0.0269 0.3105
Se 0.6895 0.0589 0.9731
CELL_PARAMETERS angstrom
-7.8659 -1.5944 2.6285
-4.6542 -3.6102 -6.0522
-1.2059 -8.2294 1.4648
```

Values from the calculation:
The raw formation energy is -571 meV per atom. Its density of states at the Fermi level is 13.37 states/eV per cell. The symmetry is No. 148. The excess energy over the best structure of this formula in the dataset is 6.29 kcal/mol of atoms.

---

A relaxed Th4Te2OsRu crystal. Source: the Alexandria database, functional PBE. Values from VASP.

Quantum ESPRESSO input file:
```
&SYSTEM
  ibrav = 0, nat = 8, ntyp = 4
/
ATOMIC_SPECIES
Th 232.04 Th.upf
Te 127.60 Te.upf
Os 190.23 Os.upf
Ru 101.07 Ru.upf
ATOMIC_POSITIONS crystal
Th 0.5000 0.2321 0.1990
Th 0.5000 0.7679 0.8010
Th 0.0000 0.2674 0.8008
Th 0.0000 0.7326 0.1992
Te 0.5000 0.0000 0.5000
Te 0.0000 0.5000 0.5000
Os 0.0000 0.0000 0.0000
Ru 0.5000 0.5000 0.0000
CELL_PARAMETERS angstrom
-3.2366 0.6392 2.5628
0.5105 -6.8308 2.3486
4.6703 4.5435 4.7649
```

Values from the calculation:
The raw formation energy is -868 meV per atom. Its density of states at the Fermi level is 2.49 states/eV per cell. The symmetry is No. 10.

---

A relaxed YTeCl crystal. Source: the Alexandria database, functional PBE. Values from VASP.

Quantum ESPRESSO input file:
```
&SYSTEM
  ibrav = 0, nat = 6, ntyp = 3
/
ATOMIC_SPECIES
Y 88.91 Y.upf
Te 127.60 Te.upf
Cl 35.45 Cl.upf
ATOMIC_POSITIONS crystal
Y 0.5991 0.0991 0.1982
Y 0.9009 0.4009 0.8018
Te 0.0486 0.5486 0.0971
Te 0.4514 0.9514 0.9029
Cl 0.6807 0.6807 0.3615
Cl 0.3193 0.3193 0.6385
CELL_PARAMETERS angstrom
-0.4673 -4.0898 0.4131
3.4020 -0.6182 -2.2715
4.7450 2.5777 10.1727
```

Values from the calculation:
The raw formation energy is -1689 meV per atom. The symmetry is No. 119.

---

A relaxed In2SbIr crystal. Source: the Alexandria database, functional PBE. Values from VASP.

Quantum ESPRESSO input file:
```
&SYSTEM
  ibrav = 0, nat = 4, ntyp = 3
/
ATOMIC_SPECIES
In 114.82 In.upf
Ir 192.22 Ir.upf
Sb 121.76 Sb.upf
ATOMIC_POSITIONS crystal
In 0.0000 0.9878 0.9879
In 0.5000 0.3245 0.3244
Ir 0.0000 0.5113 0.5114
Sb 0.5000 0.6764 0.6763
CELL_PARAMETERS angstrom
3.7360 0.0000 0.0000
0.0000 6.0417 0.0878
0.0000 3.7384 4.7473
```

Values from the calculation:
The raw formation energy is -62 meV per atom. Its density of states at the Fermi level is 1.47 states/eV per cell. The symmetry is No. 38.

---

A relaxed Y2ZnHOs crystal. Source: the Alexandria database, functional PBE. Values from VASP.

Quantum ESPRESSO input file:
```
&SYSTEM
  ibrav = 0, nat = 5, ntyp = 4
/
ATOMIC_SPECIES
Y 88.91 Y.upf
H 1.01 H.upf
Zn 65.41 Zn.upf
Os 190.23 Os.upf
ATOMIC_POSITIONS crystal
Y 0.0000 0.5000 0.0000
Y 0.5000 0.0000 0.0000
H 0.0000 0.0000 0.0000
Zn 0.5000 0.5000 0.5000
Os 0.0000 0.0000 0.5000
CELL_PARAMETERS angstrom
4.8798 0.0000 0.0000
0.0000 4.8798 0.0000
0.0000 0.0000 3.6892
```

Values from the calculation:
Its density of states at the Fermi level is 2.23 states/eV per cell. The symmetry is No. 123.

---

A relaxed Y4ZnTc crystal. Source: the Alexandria database, functional PBE. Values from VASP.

Quantum ESPRESSO input file:
```
&SYSTEM
  ibrav = 0, nat = 12, ntyp = 3
/
ATOMIC_SPECIES
Y 88.91 Y.upf
Zn 65.41 Zn.upf
Tc 98.00 Tc.upf
ATOMIC_POSITIONS crystal
Y 0.9126 0.6293 0.7887
Y 0.0377 0.9317 0.2770
Y 0.5874 0.2113 0.3707
Y 0.4623 0.7230 0.0683
Y 0.5377 0.2770 0.9317
Y 0.4126 0.7887 0.6293
Y 0.9623 0.0683 0.7230
Y 0.0874 0.3707 0.2113
Zn 0.7500 0.6280 0.3720
Zn 0.2500 0.3720 0.6280
Tc 0.2500 0.9980 0.0020
Tc 0.7500 0.0020 0.9980
CELL_PARAMETERS angstrom
6.2037 0.4223 -1.0873
-2.0276 6.7751 -2.6095
0.2277 -0.2496 7.5305
```

Values from the calculation:
The calculation puts the formation energy from the elements at -165 meV/atom. Its density of states at the Fermi level is 10.05 states/eV per cell. The symmetry is No. 15. The excess energy over the best structure of this formula in the dataset is 0.00 kcal/mol of atoms.

---

A relaxed CuSn3Pb crystal. Source: the Alexandria database, functional PBE. Values from VASP.

Quantum ESPRESSO input file:
```
&SYSTEM
  ibrav = 0, nat = 5, ntyp = 3
/
ATOMIC_SPECIES
Pb 207.20 Pb.upf
Sn 118.71 Sn.upf
Cu 63.55 Cu.upf
ATOMIC_POSITIONS crystal
Pb 0.5000 0.5000 0.5000
Sn 0.0000 0.5000 0.0000
Sn 0.0000 0.0000 0.5000
Sn 0.5000 0.0000 0.0000
Cu 0.0000 0.0000 0.0000
CELL_PARAMETERS angstrom
-3.8833 -3.2562 1.0487
-0.8898 -0.5705 -5.0661
3.3032 -3.9817 -0.1317
```

Values from the calculation:
The calculation puts the formation energy from the elements at 204 meV/atom. Its density of states at the Fermi level is 2.54 states/eV per cell. The symmetry is No. 221. The excess energy over the best structure of this formula in the dataset is 0.00 kcal/mol of atoms.

---

A relaxed CaHfH2 crystal. Source: the Alexandria database, functional PBE. Values from VASP.

Quantum ESPRESSO input file:
```
&SYSTEM
  ibrav = 0, nat = 8, ntyp = 3
/
ATOMIC_SPECIES
H 1.01 H.upf
Ca 40.08 Ca.upf
Hf 178.49 Hf.upf
ATOMIC_POSITIONS crystal
H 0.6745 0.1250 0.2500
H 0.0755 0.6250 0.2500
H 0.3750 0.3255 0.7500
H 0.8750 0.9245 0.7500
Ca 0.5000 0.5000 0.0000
Ca 0.2500 0.7500 0.5000
Hf 0.0000 0.0000 0.0000
Hf 0.7500 0.2500 0.5000
CELL_PARAMETERS angstrom
5.1235 0.0000 0.0000
0.0000 5.1235 0.0000
2.5618 2.5618 4.6066
```

Values from the calculation:
Its density of states at the Fermi level is 3.40 states/eV per cell. The symmetry is No. 122. The excess energy over the best structure of this formula in the dataset is 0.00 kcal/mol of atoms.

---

no.,DFT total energy (eV/atom)
1,-6.60
2,-7.93
3,-5.51
4,-4.68
5,-6.06
6,-6.41
7,-3.76
8,-4.83